Entry 1:
Density functional theory data (GGA-PBE) for a geometry-optimized YBe2Pt structure.

Cell and atoms, written as CIF:
```
data_YBe2Pt
_chemical_formula_sum 'Y4 Be8 Pt4'
_space_group_name_H-M_alt 'F -4 3 m'
_space_group_IT_number 216
_space_group_name_Hall 'F -4 2 3'
_cell_length_a 6.3410
_cell_length_b 6.3410
_cell_length_c 6.3410
_cell_angle_alpha 90.00
_cell_angle_beta 90.00
_cell_angle_gamma 90.00
loop_
_atom_site_label
_atom_site_type_symbol
_atom_site_fract_x
_atom_site_fract_y
_atom_site_fract_z
Y1 Y 0.0000 0.0000 0.0000
Be1 Be 0.0000 0.0000 0.5000
Be2 Be 0.2500 0.2500 0.2500
Pt1 Pt 0.2500 0.2500 0.7500
```

Properties
The calculation puts the calculated total energy at -5.1678 eV/atom.

---

Entry 2:
Density functional theory data (GGA-PBE) for a geometry-optimized NdUBC2 structure.

Cell and atoms, written as CIF:
```
data_NdUBC2
_chemical_formula_sum 'Nd2 U2 B2 C4'
_space_group_name_H-M_alt 'C 1 m 1'
_space_group_IT_number 8
_cell_length_a 5.1923
_cell_length_b 5.1919
_cell_length_c 5.9115
_cell_angle_alpha 90.00
_cell_angle_beta 115.58
_cell_angle_gamma 90.00
loop_
_space_group_symop_operation_xyz
'x,y,z'
'x,-y,z'
'x+1/2,y+1/2,z'
'x+1/2,-y+1/2,z'
loop_
_atom_site_label
_atom_site_type_symbol
_atom_site_fract_x
_atom_site_fract_y
_atom_site_fract_z
Nd1 Nd 0.0000 0.0000 0.0000
U1 U 0.2203 0.5000 0.4504
B1 B 0.3716 0.0000 0.7448
C1 C 0.0140 0.5000 0.0302
C2 C 0.2262 0.0000 0.4608
```

Properties
The calculation puts the calculated total energy at -8.3971 eV/atom.

---

Entry 3:
Density functional theory data (GGA-PBE) for a geometry-optimized LuPaOs structure.

Cell and atoms, written as CIF:
```
data_LuPaOs
_chemical_formula_sum 'Lu4 Pa4 Os4'
_space_group_name_H-M_alt 'F -4 3 m'
_space_group_IT_number 216
_space_group_name_Hall 'F -4 2 3'
_cell_length_a 6.6979
_cell_length_b 6.6979
_cell_length_c 6.6979
_cell_angle_alpha 90.00
_cell_angle_beta 90.00
_cell_angle_gamma 90.00
loop_
_atom_site_label
_atom_site_type_symbol
_atom_site_fract_x
_atom_site_fract_y
_atom_site_fract_z
Lu1 Lu 0.0000 0.0000 0.0000
Pa1 Pa 0.0000 0.0000 0.5000
Os1 Os 0.2500 0.2500 0.2500
```

Properties
The calculated formation energy is -27.9 kJ/mol of formula units. The calculation puts the energy above the most stable polymorph in this dataset at 0.000 eV per atom.

---

Entry 4:
Density functional theory data (GGA-PBE) for a geometry-optimized NbHgPd structure.

Cell and atoms, written as CIF:
```
data_NbHgPd
_chemical_formula_sum 'Nb4 Hg4 Pd4'
_space_group_name_H-M_alt 'F -4 3 m'
_space_group_IT_number 216
_space_group_name_Hall 'F -4 2 3'
_cell_length_a 6.3734
_cell_length_b 6.3734
_cell_length_c 6.3734
_cell_angle_alpha 90.00
_cell_angle_beta 90.00
_cell_angle_gamma 90.00
loop_
_atom_site_label
_atom_site_type_symbol
_atom_site_fract_x
_atom_site_fract_y
_atom_site_fract_z
Nb1 Nb 0.0000 0.0000 0.0000
Hg1 Hg 0.2500 0.2500 0.2500
Pd1 Pd 0.2500 0.2500 0.7500
```

Properties
The calculated formation energy is 143.9 kJ/mol of formula units.

---

Entry 5:
Density functional theory data (GGA-PBE) for a geometry-optimized GdMgZn structure.

Cell and atoms, written as CIF:
```
data_GdMgZn
_chemical_formula_sum 'Gd4 Mg4 Zn4'
_space_group_name_H-M_alt 'P 1'
_space_group_IT_number 1
_cell_length_a 6.2386
_cell_length_b 6.3457
_cell_length_c 7.8769
_cell_angle_alpha 78.17
_cell_angle_beta 78.26
_cell_angle_gamma 64.49
loop_
_space_group_symop_operation_xyz
'x,y,z'
loop_
_atom_site_label
_atom_site_type_symbol
_atom_site_fract_x
_atom_site_fract_y
_atom_site_fract_z
Gd1 Gd 0.0000 0.0000 0.0000
Gd2 Gd 0.1462 0.1445 0.3769
Gd3 Gd 0.5693 0.5987 0.3338
Gd4 Gd 0.7432 0.7561 0.6479
Mg1 Mg 0.4717 0.4866 0.0038
Mg2 Mg 0.4942 0.0008 0.0010
Mg3 Mg 0.7060 0.2595 0.6817
Mg4 Mg 0.9870 0.5017 0.9983
Zn1 Zn 0.0743 0.6533 0.3187
Zn2 Zn 0.2346 0.2751 0.6933
Zn3 Zn 0.2450 0.7287 0.6849
Zn4 Zn 0.6578 0.0999 0.3242
```

Properties
The calculation puts the calculated total energy at -2.6487 eV/atom.

---

Entry 6:
Density functional theory data (GGA-PBE) for a geometry-optimized RbCuNiSe3 structure.

Cell and atoms, written as CIF:
```
data_RbCuNiSe3
_chemical_formula_sum 'Rb2 Cu2 Ni2 Se6'
_space_group_name_H-M_alt 'P 1 21/m 1'
_space_group_IT_number 11
_cell_length_a 8.3257
_cell_length_b 3.7882
_cell_length_c 9.7875
_cell_angle_alpha 90.00
_cell_angle_beta 113.53
_cell_angle_gamma 90.00
loop_
_space_group_symop_operation_xyz
'x,y,z'
'-x,-y,-z'
'-x,y+1/2,-z'
'x,-y+1/2,z'
loop_
_atom_site_label
_atom_site_type_symbol
_atom_site_fract_x
_atom_site_fract_y
_atom_site_fract_z
Rb1 Rb 0.2498 0.2500 0.2171
Cu1 Cu 0.4343 0.2500 0.9065
Ni1 Ni 0.1724 0.7500 0.6450
Se1 Se 0.0206 0.7500 0.3792
Se2 Se 0.2524 0.7500 0.9189
Se3 Se 0.3626 0.2500 0.6396
```

Properties
The calculation puts the calculated total energy at -3.8948 eV/atom.

---

Entry 7:
Density functional theory data (GGA-PBE) for a geometry-optimized YCdCoSn structure.

Cell and atoms, written as CIF:
```
data_YCdCoSn
_chemical_formula_sum 'Y4 Cd4 Co4 Sn4'
_space_group_name_H-M_alt 'F -4 3 m'
_space_group_IT_number 216
_space_group_name_Hall 'F -4 2 3'
_cell_length_a 6.8323
_cell_length_b 6.8323
_cell_length_c 6.8323
_cell_angle_alpha 90.00
_cell_angle_beta 90.00
_cell_angle_gamma 90.00
loop_
_atom_site_label
_atom_site_type_symbol
_atom_site_fract_x
_atom_site_fract_y
_atom_site_fract_z
Y1 Y 0.0000 0.0000 0.0000
Cd1 Cd 0.2500 0.2500 0.2500
Co1 Co 0.2500 0.2500 0.7500
Sn1 Sn 0.0000 0.0000 0.5000
```

Properties
The calculation puts the energy above the most stable polymorph in this dataset at 0.000 eV per atom.

---

Entry 8:
Density functional theory data (GGA-PBE) for a geometry-optimized YBeZnFe structure.

Cell and atoms, written as CIF:
```
data_YBeZnFe
_chemical_formula_sum 'Y4 Be4 Zn4 Fe4'
_space_group_name_H-M_alt 'F -4 3 m'
_space_group_IT_number 216
_space_group_name_Hall 'F -4 2 3'
_cell_length_a 6.3322
_cell_length_b 6.3322
_cell_length_c 6.3322
_cell_angle_alpha 90.00
_cell_angle_beta 90.00
_cell_angle_gamma 90.00
loop_
_atom_site_label
_atom_site_type_symbol
_atom_site_fract_x
_atom_site_fract_y
_atom_site_fract_z
Y1 Y 0.0000 0.0000 0.0000
Be1 Be 0.2500 0.2500 0.2500
Zn1 Zn 0.0000 0.0000 0.5000
Fe1 Fe 0.2500 0.2500 0.7500
```

Properties
The calculation puts the energy above the most stable polymorph in this dataset at 0.123 eV per atom.